No. 1
# CaIn (GGA-PBE, optimized geometry)
data_CaIn
_cell_length_a 3.9079
_cell_length_b 5.3838
_cell_length_c 11.2655
_cell_angle_alpha 90.00
_cell_angle_beta 90.00
_cell_angle_gamma 90.00
_space_group_name_H-M_alt 'I m m a'
_space_group_IT_number 74
_space_group_name_Hall '-I 2b 2'
loop_
_atom_site_label
_atom_site_fract_x
_atom_site_fract_y
_atom_site_fract_z
Ca1 0.0000 0.2500 0.1081
In1 0.0000 0.2500 0.6471
# **ΔE_f**: -368 meV/atom
# **Uncorrected energy**: -0.20123 Ry/atom

No. 2
# BeP2Cl (GGA-PBE, optimized geometry)
data_BeP2Cl
_cell_length_a 4.6480
_cell_length_b 4.6480
_cell_length_c 2.7781
_cell_angle_alpha 90.00
_cell_angle_beta 90.00
_cell_angle_gamma 90.00
_space_group_name_H-M_alt 'P 4/m m m'
_space_group_IT_number 123
_space_group_name_Hall '-P 4 2'
loop_
_atom_site_label
_atom_site_fract_x
_atom_site_fract_y
_atom_site_fract_z
Be1 0.0000 0.0000 0.0000
P1 0.0000 0.5000 0.5000
Cl1 0.5000 0.5000 0.0000
# **ΔE_f (raw)**: 3.5 eV/f.u.
# **Energy above the most stable polymorph in this dataset**: 1.264 eV per atom
# **Uncorrected energy**: -0.23657 Ry/atom